# Pr4GaSBr2 PBE-GGA relaxed
data_Pr4GaSBr2
_cell_length_a 4.263
_cell_length_b 7.221
_cell_length_c 7.863
_cell_angle_alpha 108.84
_cell_angle_beta 90.00
_cell_angle_gamma 90.00
_space_group_name_H-M_alt 'P 1'
_space_group_IT_number 1
loop_
_space_group_symop_operation_xyz
'x,y,z'
loop_
_atom_site_label
_atom_site_fract_x
_atom_site_fract_y
_atom_site_fract_z
_atom_site_occupancy
Ga1 0.500 0.500 0.000 1
Pr1 0.500 0.229 0.206 1
Pr2 0.000 0.747 0.214 1
Pr3 0.000 0.253 0.786 1
Pr4 0.500 0.771 0.794 1
Br1 0.500 0.000 0.500 1
Br2 0.000 0.500 0.500 1
S1 0.000 0.000 0.000 1
# Raw total energy ... -39.93 eV/cell
# M_tot ... 0.00 μB per atom
# Raw formation energy ... -1289 meV per atom
# Crystal system ... monoclinic